The following is a PBE calculation of a relaxed structure of KTc2SnC, from Alexandria.

```
KTc2SnC
1.0
-1.361 -1.708 -3.561
4.569 0.347 -1.913
0.907 -3.801 1.477
K C Tc Sn
1 1 2 1
direct
0.000 0.500 0.000
0.000 0.000 0.000
0.000 0.000 0.500
0.500 0.000 0.000
0.500 0.500 0.500
```

N(E_F)   4.80 states/eV/cell
Calculated total energy   -30.9 eV for the cell shown
Energy relative to the elements   0.836 eV per atom
Space group   No. 123